[1]
NaHo4S5 | PBE | optimized geometry

a b c (Å): 3.906 5.492 10.381
angles (deg): 105.34 100.84 90.00
Atoms (fractional coordinates):
S: 0.604 0.104 0.208
S: 0.802 0.302 0.603
S: 0.198 0.698 0.397
S: 0.000 0.500 0.000
S: 0.396 0.896 0.792
Na: 0.000 0.000 0.000
Ho: 0.204 0.204 0.408
Ho: 0.601 0.601 0.201
Ho: 0.796 0.796 0.592
Ho: 0.399 0.399 0.799

symmetry = Immm, No. 71
formation energy from raw total energies = -44.487 kcal/mol of atoms

---

[2]
Na4Ho3SbS8 | PBE | optimized geometry

a b c (Å): 7.961 8.108 7.960
angles (deg): 119.43 120.00 90.00
Atoms (fractional coordinates):
S: 0.757 0.274 0.513
S: 0.258 0.275 0.516
S: 0.742 0.725 0.484
S: 0.243 0.726 0.487
S: 0.243 0.726 0.983
S: 0.740 0.726 0.983
S: 0.260 0.274 0.017
S: 0.757 0.274 0.017
Ho: 0.500 0.500 0.000
Ho: 0.000 0.500 0.500
Ho: 0.500 0.500 0.500
Na: 0.500 0.000 0.500
Na: 0.500 0.000 0.000
Na: 0.000 0.000 0.500
Na: 0.000 0.000 0.000
Sb: 0.000 0.500 0.000

symmetry = R-3m, No. 166
formation energy from raw total energies = -35.816 kcal/mol of atoms

---

[3]
Na3HoSb2S6 | PBE | optimized geometry

a b c (Å): 6.917 6.917 7.086
angles (deg): 99.35 99.35 120.01
Atoms (fractional coordinates):
Na: 0.500 0.500 0.500
Na: 0.171 0.829 0.500
Na: 0.829 0.171 0.500
Sb: 0.334 0.666 0.000
Sb: 0.666 0.334 0.000
Ho: 0.000 0.000 0.000
S: 0.406 0.076 0.228
S: 0.254 0.254 0.771
S: 0.076 0.406 0.228
S: 0.924 0.594 0.772
S: 0.746 0.746 0.229
S: 0.594 0.924 0.772

symmetry = C2/m, No. 12
formation energy from raw total energies = -24.265 kcal/mol of atoms